Record 1
Here is a geometry-optimized Sc2UTiC4 structure from Alexandria via LeMat-Bulk. Energies are from PBE.

Results
Space group: P2/m, No. 10
Fermi-level density of states: 0.0998 states/eV per atom

abc: 3.340 5.695 5.739
angles: 70.80 90.00 90.00
Positions (direct):
Sc (0.500, 0.000, 0.500)
Sc (0.000, 0.000, 0.000)
C (0.000, 0.268, 0.243)
C (0.500, 0.268, 0.754)
C (0.500, 0.732, 0.246)
C (0.000, 0.732, 0.757)
Ti (0.500, 0.500, 0.000)
U (0.000, 0.500, 0.500)


Record 2
Here is a geometry-optimized DyZn13 structure from Alexandria via LeMat-Bulk. Energies are from PBE.

Results
Space group: Fm-3c, No. 226
Fermi-level density of states: 0.3736 states/eV per atom

abc: 8.577 8.577 8.577
angles: 60.00 60.00 60.00
Positions (direct):
Zn (0.301, 0.699, 0.941)
Zn (0.801, 0.441, 0.199)
Zn (0.559, 0.441, 0.801)
Zn (0.441, 0.199, 0.801)
Zn (0.500, 0.500, 0.500)
Zn (0.699, 0.941, 0.301)
Zn (0.441, 0.801, 0.559)
Zn (0.699, 0.301, 0.059)
Zn (0.199, 0.441, 0.559)
Zn (0.941, 0.301, 0.699)
Zn (0.059, 0.699, 0.301)
Zn (0.199, 0.559, 0.801)
Zn (0.941, 0.059, 0.301)
Zn (0.059, 0.941, 0.699)
Zn (0.559, 0.199, 0.441)
Zn (0.301, 0.941, 0.059)
Zn (0.801, 0.559, 0.441)
Zn (0.559, 0.801, 0.199)
Zn (0.199, 0.801, 0.441)
Zn (0.441, 0.559, 0.199)
Zn (0.801, 0.199, 0.559)
Zn (0.941, 0.699, 0.059)
Zn (0.699, 0.059, 0.941)
Zn (0.301, 0.059, 0.699)
Zn (0.000, 0.000, 0.000)
Zn (0.059, 0.301, 0.941)
Dy (0.750, 0.750, 0.750)
Dy (0.250, 0.250, 0.250)


The records above yield volume values of 12.9, 15.9 Å³/atom, respectively.
The records above yield formation enthalpy at 0 K values of -3.62, -1.73 eV per formula unit, respectively.